(1)
Tm2CuAgSn2 | PBE | relaxed

Uncorrected energy in eV/cell: -26.8

Cell: 4.6117 4.6117 7.2401 Å, 90.00 90.00 120.00°
Last column: nearest neighbours and their distance in Å.
Positions (direct):
Ag 0.3333 0.6667 0.6768  4 Sn 2.77-2.99, 3 Tm 2.98
Cu 0.6667 0.3333 0.1729  4 Sn 2.74-2.84, 3 Tm 2.94
Sn 0.3333 0.6667 0.2634  3 Cu 2.74, 1 Ag 2.99
Sn 0.6667 0.3333 0.7808  3 Ag 2.77, 1 Cu 2.84
Tm 0.0000 0.0000 0.0018  3 Cu 2.94, 6 Sn 3.11-3.27
Tm 0.0000 0.0000 0.4931  3 Ag 2.98, 3 Sn 3.14



(2)
Sr2Cu2Ag | PBE | relaxed

Uncorrected energy in eV/cell: -14.3

Cell: 5.9290 5.9290 4.4033 Å, 111.72 111.72 62.92°
Last column: nearest neighbours and their distance in Å.
Positions (direct):
Ag 0.2004 0.2004 0.2003  4 Cu 2.85
Cu 0.9072 0.4925 0.7000  1 Cu 2.57, 2 Ag 2.85
Cu 0.4925 0.9072 0.7000  1 Cu 2.57, 2 Ag 2.85
Sr 0.9101 0.9101 0.4095  6 Cu 3.19-3.20, 2 Ag 3.44-3.45
Sr 0.4898 0.4898 0.9903  6 Cu 3.19-3.20, 2 Ag 3.43-3.44



(3)
SrCu2Ag3 | PBE | relaxed

Uncorrected energy in eV/cell: -18.3

Cell: 5.6507 5.6507 4.3121 Å, 90.00 90.00 120.00°
Last column: nearest neighbours and their distance in Å.
Positions (direct):
Ag 0.5000 0.0000 0.5000  4 Cu 2.70, 4 Ag 2.83
Ag 0.0000 0.5000 0.5000  4 Cu 2.70, 4 Ag 2.83
Ag 0.5000 0.5000 0.5000  4 Cu 2.70, 4 Ag 2.83
Cu 0.6667 0.3333 0.0000  6 Ag 2.70
Cu 0.3333 0.6667 0.0000  6 Ag 2.70
Sr 0.0000 0.0000 0.0000  6 Cu 3.26, 12 Ag 3.55



(4)
TaTlCuAg | PBE | relaxed

Polymorph energy (0 for the lowest one) in meV/atom: 5

Cell: 4.6741 4.6741 4.6741 Å, 60.00 60.00 60.00°
Last column: nearest neighbours and their distance in Å.
Positions (direct):
Ag 0.5000 0.5000 0.5000  4 Ta 2.86, 4 Cu 2.86
Cu 0.7500 0.7500 0.7500  4 Tl 2.86, 4 Ag 2.86
Ta 0.2500 0.2500 0.2500  4 Ag 2.86, 4 Tl 2.86
Tl 0.0000 0.0000 0.0000  4 Cu 2.86, 4 Ta 2.86



(5)
TaTlCuAg | PBE | relaxed

Polymorph energy (0 for the lowest one) in meV/atom: 0

Cell: 4.6507 4.6507 4.6507 Å, 60.00 60.00 60.00°
Last column: nearest neighbours and their distance in Å.
Positions (direct):
Ag 0.2500 0.2500 0.2500  4 Tl 2.85, 4 Ta 2.85
Cu 0.7500 0.7500 0.7500  4 Ta 2.85, 4 Tl 2.85
Ta 0.5000 0.5000 0.5000  4 Cu 2.85, 4 Ag 2.85
Tl 0.0000 0.0000 0.0000  4 Ag 2.85, 4 Cu 2.85



(6)
TbCuAg | PBE | relaxed

Formation energy in kJ per mole of atoms: -9.9

Cell: 4.5496 4.5496 4.5496 Å, 60.00 60.00 60.00°
Last column: nearest neighbours and their distance in Å.
Positions (direct):
Ag 0.2500 0.2500 0.2500  4 Cu 2.79
Cu 0.0000 0.0000 0.0000  4 Ag 2.79, 4 Tb 2.79
Tb 0.7500 0.7500 0.7500  4 Cu 2.79



(7)
TbTm2Tl3CuAg2 | PBE | relaxed

Uncorrected energy in eV/cell: -32.6

Cell: 3.8317 7.8966 7.8966 Å, 120.21 90.00 90.00°
Last column: nearest neighbours and their distance in Å.
Positions (direct):
Ag 0.5000 0.6695 0.3319  3 Tl 2.94-2.98, 4 Tm 3.08, 2 Tb 3.11
Ag 0.5000 0.3319 0.6695  3 Tl 2.94-2.98, 4 Tm 3.08, 2 Tb 3.11
Cu 0.0000 0.9980 0.9980  6 Tl 2.79-2.81, 2 Tm 3.11
Tb 0.0000 0.3966 0.3966  4 Ag 3.11, 1 Cu 3.14, 6 Tl 3.31-3.35
Tl 0.5000 0.9998 0.2589  2 Cu 2.81, 2 Ag 2.94-2.97
Tl 0.5000 0.7402 0.7402  2 Cu 2.79, 2 Ag 2.98
Tl 0.5000 0.2589 0.9998  2 Cu 2.81, 2 Ag 2.94-2.97
Tm 0.0000 0.6050 0.0000  4 Ag 3.08, 1 Cu 3.11, 6 Tl 3.34-3.35
Tm 0.0000 0.0000 0.6050  4 Ag 3.08, 1 Cu 3.11, 6 Tl 3.34-3.35



(8)
CuTcAg2 | PBE | relaxed

Formation energy in kJ per mole of atoms: 55.4

Cell: 4.4779 4.4779 4.4779 Å, 60.00 60.00 60.00°
Last column: nearest neighbours and their distance in Å.
Positions (direct):
Ag 0.5000 0.5000 0.5000  4 Ag 2.74, 4 Cu 2.74
Ag 0.7500 0.7500 0.7500  4 Tc 2.74, 4 Ag 2.74
Cu 0.2500 0.2500 0.2500  4 Tc 2.74, 4 Ag 2.74
Tc 0.0000 0.0000 0.0000  4 Ag 2.74, 4 Cu 2.74



(9)
CuAgTe | PBE | relaxed

Polymorph energy (0 for the lowest one) in meV/atom: 75

Cell: 4.4070 4.4070 7.5115 Å, 90.00 90.00 120.00°
Last column: nearest neighbours and their distance in Å.
Positions (direct):
Ag 0.0000 0.0000 0.0000  6 Te 3.16, 6 Cu 3.16
Ag 0.0000 0.0000 0.5000  6 Te 3.16, 6 Cu 3.16
Cu 0.6667 0.3333 0.2500  3 Te 2.54
Cu 0.3333 0.6667 0.7500  3 Te 2.54
Te 0.3333 0.6667 0.2500  3 Cu 2.54
Te 0.6667 0.3333 0.7500  3 Cu 2.54



(10)
CuAgTe | PBE | relaxed

Polymorph energy (0 for the lowest one) in meV/atom: 71

Cell: 7.2170 7.2170 3.9881 Å, 90.00 90.00 120.00°
Last column: nearest neighbours and their distance in Å.
Positions (direct):
Ag 0.6004 0.0000 0.5000  5 Cu 2.88-2.97, 2 Te 3.01
Ag 0.3996 0.3996 0.5000  5 Cu 2.88-2.97, 2 Te 3.01
Ag 0.0000 0.6004 0.5000  5 Cu 2.88-2.97, 2 Te 3.01
Cu 0.6667 0.3333 0.0000  3 Te 2.58
Cu 0.3333 0.6667 0.0000  3 Te 2.58
Cu 0.0000 0.0000 0.5000  6 Te 2.88, 3 Ag 2.88
Te 0.2881 0.0000 0.0000  4 Cu 2.58-2.88
Te 0.0000 0.2881 0.0000  4 Cu 2.58-2.88
Te 0.7119 0.7119 0.0000  4 Cu 2.58-2.88



(11)
CuAgTe | PBE | relaxed

Polymorph energy (0 for the lowest one) in meV/atom: 48

Cell: 7.4245 4.2553 7.9613 Å, 90.00 90.00 90.00°
Last column: nearest neighbours and their distance in Å.
Positions (direct):
Ag 0.0229 0.2500 0.1468  3 Cu 2.78-2.99, 3 Te 2.94-3.05
Ag 0.5229 0.2500 0.3532  3 Cu 2.78-2.99, 3 Te 2.94-3.05
Ag 0.4771 0.7500 0.6468  3 Cu 2.78-2.99, 3 Te 2.94-3.05
Ag 0.9771 0.7500 0.8532  3 Cu 2.78-2.99, 3 Te 2.94-3.05
Cu 0.7405 0.7500 0.1235  3 Te 2.54-2.61, 1 Ag 2.78
Cu 0.2405 0.7500 0.3765  3 Te 2.54-2.61, 1 Ag 2.78
Cu 0.7595 0.2500 0.6235  3 Te 2.54-2.61, 1 Ag 2.78
Cu 0.2595 0.2500 0.8765  3 Te 2.54-2.61, 1 Ag 2.78
Te 0.3034 0.7500 0.0629  3 Cu 2.54-2.61
Te 0.8034 0.7500 0.4371  3 Cu 2.54-2.61
Te 0.1966 0.2500 0.5629  3 Cu 2.54-2.61
Te 0.6966 0.2500 0.9371  3 Cu 2.54-2.61



(12)
CuAgTe | PBE | relaxed

Polymorph energy (0 for the lowest one) in meV/atom: 0

Cell: 7.2884 4.2957 7.7743 Å, 90.00 90.00 90.00°
Last column: nearest neighbours and their distance in Å.
Positions (direct):
Ag 0.4519 0.2500 0.2346  3 Cu 2.70-2.79, 1 Te 2.84
Ag 0.9519 0.2500 0.2654  3 Cu 2.70-2.79, 1 Te 2.84
Ag 0.0481 0.7500 0.7346  3 Cu 2.70-2.79, 1 Te 2.84
Ag 0.5481 0.7500 0.7654  3 Cu 2.70-2.79, 1 Te 2.84
Cu 0.0925 0.7500 0.0792  4 Te 2.68-2.85, 3 Ag 2.70-2.79, 2 Cu 2.82
Cu 0.5925 0.7500 0.4208  4 Te 2.68-2.85, 3 Ag 2.70-2.79, 2 Cu 2.82
Cu 0.4075 0.2500 0.5792  4 Te 2.68-2.85, 3 Ag 2.70-2.79, 2 Cu 2.82
Cu 0.9075 0.2500 0.9208  4 Te 2.68-2.85, 3 Ag 2.70-2.79, 2 Cu 2.82
Te 0.7254 0.7500 0.0909  4 Cu 2.68-2.85, 1 Ag 2.84
Te 0.2254 0.7500 0.4091  4 Cu 2.68-2.85, 1 Ag 2.84
Te 0.7746 0.2500 0.5909  4 Cu 2.68-2.85, 1 Ag 2.84
Te 0.2746 0.2500 0.9091  4 Cu 2.68-2.85, 1 Ag 2.84



The following density values (in g/cm3) correspond, in order, to the records above: 9.3; 5.5; 7.5; 12.8; 13.0; 8.2; 11.2; 9.9; 7.9; 8.3; 7.9; 8.2.